Compound: Cr3CdBi
Source: Alexandria
Functional: PBE
Structure: optimized geometry

Geometry as CIF:
```
data_Cr3CdBi
_space_group_name_H-M_alt 'P 1'
_space_group_IT_number 1
_space_group_name_Hall 'P 1'
_cell_length_a 5.362
_cell_length_b 5.362
_cell_length_c 5.362
_cell_angle_alpha 90.00
_cell_angle_beta 90.00
_cell_angle_gamma 90.00
loop_
_atom_site_label
_atom_site_type_symbol
_atom_site_fract_x
_atom_site_fract_y
_atom_site_fract_z
Bi1 Bi 0.000 0.000 0.000
Cr1 Cr 0.000 0.500 0.000
Cr2 Cr 0.500 0.000 0.000
Cr3 Cr 0.000 0.000 0.500
Cd1 Cd 0.500 0.500 0.500
```

Properties
Symmetry: Pm-3m (221)
ΔE_f (meV/atom): 1324
Fermi-level density of states (states/eV per atom): 1.192
Relative energy among the computed polymorphs (meV/atom): 5.5
Size of the total moment (Bohr magnetons per cell): 14.12